The following is a GGA-PBEsol calculation of a relaxed structure of CuTePb2, from Alexandria.

The value obtained for the size of the total moment is 0.00 μB per formula unit. The value obtained for the electronic total energy is -3.72 eV per atom. For the energy relative to the elements, uncorrected, the calculation gives 0.24 eV per atom.

Unit cell a=5.1319 b=5.1319 c=3.9047 alpha=90.00 beta=90.00 gamma=90.00
Last column: nearest neighbours and their distance in Å.
Space group P4/mmm (No. 123)
Inequivalent atoms, fractional coordinates:
Cu1 0.0000 0.0000 0.0000 (multiplicity 1)  8 Pb 3.22
Te1 0.5000 0.5000 0.0000 (multiplicity 1)  8 Pb 3.22
Pb1 0.0000 0.5000 0.5000 (multiplicity 2)  4 Te 3.22, 4 Cu 3.22

=====

The following is a GGA-PBEsol calculation of a relaxed structure of TlCuPb, from Alexandria.

The value obtained for the size of the total moment is 0.00 μB per formula unit. The value obtained for the electronic total energy is -3.43 eV per atom. The calculation puts the formation energy at 0.23 eV per atom.

Unit cell a=3.3151 b=3.3151 c=12.2670 alpha=90.00 beta=90.00 gamma=90.00
Last column: nearest neighbours and their distance in Å.
Space group I4mm (No. 107)
Inequivalent atoms, fractional coordinates:
Tl1 0.0000 0.0000 0.0000 (multiplicity 2)  4 Cu 2.91
Cu1 0.0000 0.0000 0.6412 (multiplicity 2)  4 Pb 2.91, 4 Tl 2.91
Pb1 0.0000 0.0000 0.2822 (multiplicity 2)  4 Cu 2.91

=====

The following is a GGA-PBEsol calculation of a relaxed structure of CuPbW, from Alexandria.

The value obtained for the size of the total moment is 2.17 μB per formula unit. The value obtained for the electronic total energy is -6.15 eV per atom. The calculation puts the formation energy at 1.23 eV per atom.

Unit cell a=6.0868 b=6.0868 c=6.0868 alpha=90.00 beta=90.00 gamma=90.00
Last column: nearest neighbours and their distance in Å.
Space group F-43m (No. 216)
Inequivalent atoms, fractional coordinates:
Cu1 0.0000 0.0000 0.0000 (multiplicity 4)  4 W 2.64, 4 Pb 2.64
Pb1 0.2500 0.2500 0.2500 (multiplicity 4)  4 Cu 2.64
W1 0.2500 0.2500 0.7500 (multiplicity 4)  4 Cu 2.64

=====

The following is a GGA-PBEsol calculation of a relaxed structure of YCu2Pb, from Alexandria.

The value obtained for the size of the total moment is 0.00 μB per formula unit. The value obtained for the electronic total energy is -5.03 eV per atom. The calculation puts the formation energy at -0.15 eV per atom.

Unit cell a=4.1746 b=4.1746 c=15.9944 alpha=90.00 beta=90.00 gamma=120.00
Last column: nearest neighbours and their distance in Å.
Space group R3m (No. 160, hexagonal axes)
Inequivalent atoms, fractional coordinates:
Y1 0.0000 0.0000 0.0000 (multiplicity 3)  6 Cu 2.99-3.05, 4 Pb 3.19-3.24
Cu1 0.0000 0.0000 0.2229 (multiplicity 3)  3 Cu 2.41
Cu2 0.0000 0.0000 0.5500 (multiplicity 3)  3 Cu 2.41
Pb1 0.0000 0.0000 0.7977 (multiplicity 3)  6 Cu 2.77-2.82

=====

The following is a GGA-PBEsol calculation of a relaxed structure of YCu2Pb, from Alexandria.

The value obtained for the size of the total moment is 0.00 μB per formula unit. The value obtained for the electronic total energy is -4.90 eV per atom. The calculation puts the formation energy at -0.03 eV per atom.

Unit cell a=4.6350 b=4.6350 c=7.0613 alpha=90.00 beta=90.00 gamma=90.00
Last column: nearest neighbours and their distance in Å.
Space group I-4m2 (No. 119)
Inequivalent atoms, fractional coordinates:
Y1 0.0000 0.0000 0.0000 (multiplicity 2)  4 Pb 2.91, 4 Cu 2.91
Cu1 0.0000 0.0000 0.5000 (multiplicity 2)  4 Pb 2.91, 4 Cu 2.91
Cu2 0.0000 0.5000 0.2500 (multiplicity 2)  4 Cu 2.91, 4 Y 2.91
Pb1 0.0000 0.5000 0.7500 (multiplicity 2)  4 Cu 2.91, 4 Y 2.91

=====

The following is a GGA-PBEsol calculation of a relaxed structure of YCuPb3, from Alexandria.

The value obtained for the size of the total moment is 0.00 μB per formula unit. The value obtained for the electronic total energy is -4.50 eV per atom. The calculation puts the formation energy at 0.13 eV per atom.

Unit cell a=5.1603 b=5.1603 c=5.1603 alpha=90.00 beta=90.00 gamma=90.00
Last column: nearest neighbours and their distance in Å.
Space group Pm-3m (No. 221)
Inequivalent atoms, fractional coordinates:
Y1 0.0000 0.0000 0.0000 (multiplicity 1)  12 Pb 3.65
Cu1 0.5000 0.5000 0.5000 (multiplicity 1)  6 Pb 2.58
Pb1 0.0000 0.5000 0.5000 (multiplicity 3)  2 Cu 2.58

=====

The following is a GGA-PBEsol calculation of a relaxed structure of Y5CuPb3, from Alexandria.

The value obtained for the size of the total moment is 0.00 μB per formula unit. The value obtained for the electronic total energy is -6.18 eV per atom. The calculation puts the formation energy at -0.58 eV per atom.

Unit cell a=9.0810 b=9.0810 c=6.5747 alpha=90.00 beta=90.00 gamma=120.00
Last column: nearest neighbours and their distance in Å.
Space group P6_3/mcm (No. 193)
Inequivalent atoms, fractional coordinates:
Y1 0.0000 0.2543 0.2500 (multiplicity 6)  2 Cu 2.83, 2 Pb 3.11
Y2 0.3333 0.6667 0.0000 (multiplicity 4)  6 Pb 3.25, 2 Y 3.29
Cu1 0.0000 0.0000 0.0000 (multiplicity 2)  6 Y 2.83
Pb1 0.0000 0.3891 0.7500 (multiplicity 6)  7 Y 3.11-3.25

=====

The following is a GGA-PBEsol calculation of a relaxed structure of ZnCu2Pb, from Alexandria.

The value obtained for the size of the total moment is 0.00 μB per formula unit. The value obtained for the electronic total energy is -3.22 eV per atom. The calculation puts the formation energy at 0.34 eV per atom. As for the offset from the most stable computed form: 75 meV/atom.

Unit cell a=3.1462 b=3.1462 c=23.6927 alpha=90.00 beta=90.00 gamma=120.00
Last column: nearest neighbours and their distance in Å.
Space group R-3m (No. 166, hexagonal axes)
Inequivalent atoms, fractional coordinates:
Zn1 0.0000 0.0000 0.0000 (multiplicity 3)  6 Cu 2.50
Cu1 0.0000 0.0000 0.2610 (multiplicity 6)  3 Zn 2.50
Pb1 0.0000 0.0000 0.5000 (multiplicity 3)  6 Cu 2.88, 6 Pb 3.15

=====

The following is a GGA-PBEsol calculation of a relaxed structure of Zn3CuPb, from Alexandria.

The value obtained for the size of the total moment is 0.00 μB per formula unit. The value obtained for the electronic total energy is -2.36 eV per atom. The calculation puts the formation energy at 0.26 eV per atom.

Unit cell a=4.5845 b=4.5845 c=4.5845 alpha=90.00 beta=90.00 gamma=90.00
Last column: nearest neighbours and their distance in Å.
Space group Pm-3m (No. 221)
Inequivalent atoms, fractional coordinates:
Zn1 0.0000 0.0000 0.5000 (multiplicity 3)  2 Cu 2.29
Cu1 0.0000 0.0000 0.0000 (multiplicity 1)  6 Zn 2.29
Pb1 0.5000 0.5000 0.5000 (multiplicity 1)  12 Zn 3.24

=====

The following is a GGA-PBEsol calculation of a relaxed structure of ZnCuPb2, from Alexandria.

The value obtained for the size of the total moment is 0.00 μB per formula unit. The value obtained for the electronic total energy is -3.21 eV per atom. The calculation puts the formation energy at 0.27 eV per atom.

Unit cell a=3.3456 b=3.4930 c=7.2881 alpha=90.00 beta=90.00 gamma=90.00
Last column: nearest neighbours and their distance in Å.
Space group Pmmm (No. 47)
Inequivalent atoms, fractional coordinates:
Zn1 0.0000 0.0000 0.0000 (multiplicity 1)  8 Pb 3.10, 2 Zn 3.35
Cu1 0.0000 0.0000 0.5000 (multiplicity 1)  8 Pb 2.96
Pb1 0.5000 0.5000 0.2659 (multiplicity 2)  4 Cu 2.96, 4 Zn 3.10

=====

The following is a GGA-PBEsol calculation of a relaxed structure of ZnCu2Pb, from Alexandria.

The value obtained for the size of the total moment is 0.00 μB per formula unit. The value obtained for the electronic total energy is -3.30 eV per atom. The calculation puts the formation energy at 0.26 eV per atom. As for the offset from the most stable computed form: 0 meV/atom.

Unit cell a=3.9365 b=3.9365 c=8.1884 alpha=90.00 beta=90.00 gamma=90.00
Last column: nearest neighbours and their distance in Å.
Space group I-4m2 (No. 119)
Inequivalent atoms, fractional coordinates:
Zn1 0.0000 0.0000 0.0000 (multiplicity 2)  8 Cu 2.78-2.84, 4 Pb 2.84
Cu1 0.0000 0.0000 0.5000 (multiplicity 2)  4 Zn 2.78, 4 Pb 2.84, 4 Cu 2.84
Cu2 0.0000 0.5000 0.2500 (multiplicity 2)  4 Pb 2.78, 4 Cu 2.84, 4 Zn 2.84
Pb1 0.0000 0.5000 0.7500 (multiplicity 2)  8 Cu 2.78-2.84, 4 Zn 2.84

=====

The following is a GGA-PBEsol calculation of a relaxed structure of CuPd, from Alexandria.

The value obtained for the size of the total moment is 0.00 μB per formula unit. The value obtained for the electronic total energy is -5.23 eV per atom. The calculation puts the formation energy at -0.09 eV per atom.

Unit cell a=2.6750 b=2.6750 c=12.6596 alpha=90.00 beta=90.00 gamma=120.00
Last column: nearest neighbours and their distance in Å.
Space group R-3m (No. 166, hexagonal axes)
Inequivalent atoms, fractional coordinates:
Cu1 0.0000 0.0000 0.0000 (multiplicity 3)  6 Pd 2.61, 6 Cu 2.68
Pd1 0.0000 0.0000 0.5000 (multiplicity 3)  6 Cu 2.61, 6 Pd 2.68